[1]
Material: Ca2HgSbH
Method: DFT, PBE
State: optimized geometry

a b c (Å): 5.0538 5.0538 4.4384
angles (deg): 90.00 90.00 90.00
Element x y z (fractional)
Sb1 0.5000 0.5000 0.5000
H1 0.0000 0.0000 0.0000
Hg1 0.0000 0.0000 0.5000
Ca1 0.0000 0.5000 0.0000
Ca2 0.5000 0.0000 0.0000

## Properties
Uncorrected energy (eV/atom): -2.91
Crystal system: tetragonal
Space-group type: No. 123
DOS(E_F) (states/eV per cell): 0.57
Size of the total moment (μB/cell): 0.0

=====

[2]
Material: Na2InHg
Method: DFT, PBE
State: optimized geometry

a b c (Å): 3.4072 3.4072 9.1264
angles (deg): 90.00 90.00 90.00
Element x y z (fractional)
Na1 0.0000 0.0000 0.2607
Na2 0.0000 0.0000 0.7393
In1 0.5000 0.5000 0.0000
Hg1 0.5000 0.5000 0.5000

## Properties
Uncorrected energy (eV/atom): -1.57
Energy of formation from the pure elements (meV/atom): -155
Crystal system: tetragonal
Space-group type: No. 123
DOS(E_F) (states/eV per cell): 2.21
Size of the total moment (μB/cell): 0.0

=====

[3]
Material: Y2TlBPt
Method: DFT, PBE
State: optimized geometry

a b c (Å): 5.7048 4.0058 5.7048
angles (deg): 90.00 90.00 90.00
Element x y z (fractional)
Tl1 0.0000 0.0000 0.0000
B1 0.0000 0.5000 0.0000
Y1 0.5000 0.0000 0.0000
Y2 0.0000 0.0000 0.5000
Pt1 0.5000 0.5000 0.5000

## Properties
Uncorrected energy (eV/atom): -4.86
Energy of formation from the pure elements (meV/atom): 745
Crystal system: tetragonal
Space-group type: No. 123
DOS(E_F) (states/eV per cell): 5.45
Size of the total moment (μB/cell): 0.0

=====

[4]
Material: Nb4Mo3Ir
Method: DFT, PBE
State: optimized geometry

a b c (Å): 3.2454 4.5614 9.0695
angles (deg): 90.00 90.00 90.00
Element x y z (fractional)
Mo1 0.5000 0.0000 0.2450
Mo2 0.5000 0.0000 0.7550
Mo3 0.5000 0.5000 0.5000
Nb1 0.0000 0.5000 0.2516
Nb2 0.0000 0.0000 0.5000
Nb3 0.0000 0.5000 0.7484
Nb4 0.0000 0.0000 0.0000
Ir1 0.5000 0.5000 0.0000

## Properties
Uncorrected energy (eV/atom): -10.44
Energy of formation from the pure elements (meV/atom): -239
Crystal system: orthorhombic
Space-group type: No. 47
DOS(E_F) (states/eV per cell): 5.94
Size of the total moment (μB/cell): 0.0

=====

[5]
Material: CeHgSbAu
Method: DFT, PBE
State: optimized geometry

a b c (Å): 5.1855 5.1855 5.1855
angles (deg): 60.00 60.00 60.00
Element x y z (fractional)
Au1 0.0000 0.0000 0.0000
Hg1 0.5000 0.5000 0.5000
Sb1 0.2500 0.2500 0.2500
Ce1 0.7500 0.7500 0.7500

## Properties
Uncorrected energy (eV/atom): -3.86
Crystal system: cubic
Space-group type: No. 216
DOS(E_F) (states/eV per cell): 6.57
Raw formation energy (meV/atom): -456
Size of the total moment (μB/cell): 0.8

=====

[6]
Material: Pm4CoSn2
Method: DFT, PBE
State: optimized geometry

a b c (Å): 4.9661 4.9661 9.2014
angles (deg): 105.66 105.66 90.00
Element x y z (fractional)
Sn1 0.6386 0.6386 0.2773
Sn2 0.3614 0.3614 0.7227
Co1 0.0000 0.0000 0.0000
Pm1 0.8249 0.8249 0.6499
Pm2 0.0000 0.5000 0.0000
Pm3 0.5000 0.0000 0.0000
Pm4 0.1751 0.1751 0.3501

## Properties
Uncorrected energy (eV/atom): -5.28
Energy of formation from the pure elements (meV/atom): -409
Crystal system: tetragonal
Space-group type: No. 139
DOS(E_F) (states/eV per cell): 3.38
Size of the total moment (μB/cell): 0.0